1.
SrLa3Au PBEsol optimized geometry; theoretical density = 5.757 Mg/m³; formation energy = -0.050 eV/atom; VASP energy = -4.410 eV per atom; DOS(E_F) = 2.22 states/eV per atom
1.0
5.870 0.000 0.000
0.000 5.870 0.000
0.000 0.000 5.870
La Sr Au
3 1 1
direct
0.000 0.500 0.000
0.500 0.000 0.000
0.000 0.000 0.500
0.500 0.500 0.500
0.000 0.000 0.000


2.
SrLa2Au PBEsol optimized geometry; theoretical density = 6.662 Mg/m³; formation energy = -0.282 eV/atom; VASP energy = -4.396 eV per atom; DOS(E_F) = 1.39 states/eV per atom
1.0
-3.215 1.222 -1.707
1.037 -1.790 -3.235
-4.521 -7.849 2.893
La Sr Au
2 1 1
direct
0.000 0.000 0.332
0.000 0.000 0.668
0.500 0.500 0.000
0.500 0.500 0.500


3.
SrLa2Au PBEsol optimized geometry; theoretical density = 7.272 Mg/m³; formation energy = -0.197 eV/atom; VASP energy = -4.311 eV per atom; DOS(E_F) = 1.17 states/eV per atom
1.0
-2.126 3.498 0.250
-1.923 -0.861 -4.310
-4.024 -4.689 2.733
Sr La Au
1 2 1
direct
0.500 0.500 0.000
0.105 0.000 0.295
0.895 0.000 0.705
0.500 0.500 0.500


4.
SrLa3Au PBEsol optimized geometry; theoretical density = 6.535 Mg/m³; formation energy = 1.020 eV/atom; VASP energy = -3.340 eV per atom; DOS(E_F) = 1.67 states/eV per atom
1.0
5.627 0.000 0.000
0.000 5.627 0.000
0.000 0.000 5.627
La Au Sr
3 1 1
direct
0.000 0.500 0.000
0.000 0.000 0.500
0.500 0.000 0.000
0.500 0.500 0.500
0.000 0.000 0.000


5.
SrLa2Au PBEsol optimized geometry; theoretical density = 7.245 Mg/m³; formation energy = -0.324 eV/atom; VASP energy = -4.439 eV per atom; DOS(E_F) = 1.20 states/eV per atom
1.0
3.758 0.000 0.000
0.000 3.758 0.000
0.000 0.000 9.129
La Au Sr
2 1 1
direct
0.000 0.000 0.219
0.500 0.500 0.952
0.000 0.000 0.772
0.500 0.500 0.557


6.
SrLaTa2Au PBEsol optimized geometry; theoretical density = 10.096 Mg/m³; formation energy = 2.321 eV/atom; VASP energy = -4.921 eV per atom; DOS(E_F) = 1.53 states/eV per atom
1.0
-2.550 1.048 -4.087
-4.131 0.353 2.667
0.927 5.180 0.750
Au Ta La Sr
1 2 1 1
direct
0.500 0.500 0.500
0.000 0.500 0.000
0.500 0.000 0.000
0.000 0.000 0.500
0.000 0.000 0.000


7.
LaTa2Au PBEsol optimized geometry; theoretical density = 14.492 Mg/m³; formation energy = 0.295 eV/atom; VASP energy = -8.298 eV per atom; DOS(E_F) = 1.03 states/eV per atom
1.0
-0.036 2.483 1.531
-2.235 -1.007 1.581
6.036 -3.717 6.167
Au Ta La
1 2 1
direct
0.500 0.500 0.000
0.000 0.000 0.215
0.000 0.000 0.785
0.500 0.500 0.500


8.
LaTaAu3 PBEsol optimized geometry; theoretical density = 10.401 Mg/m³; formation energy = 1.504 eV/atom; VASP energy = -4.430 eV per atom; DOS(E_F) = 0.99 states/eV per atom
1.0
5.258 0.000 0.000
0.000 5.258 0.000
0.000 0.000 5.258
Au La Ta
3 1 1
direct
0.500 0.000 0.000
0.000 0.500 0.000
0.000 0.000 0.500
0.000 0.000 0.000
0.500 0.500 0.500